First-principles (GGA-PBE) data for crystalline PrScPb at its relaxed geometry, as listed in Alexandria via LeMat-Bulk.

```
3
Lattice="-1.937 1.937 5.797 1.937 -1.937 5.797 1.937 1.937 -5.797" Properties=species:S:1:pos:R:3 pbc="T T T"
Pr 0.000 0.000 0.000
Sc 0.000 0.000 7.991
Pb 0.000 0.000 3.679
```

E_form = -5.681 kcal/mol of atoms
space group = I4mm
ΔE to the lowest computed polymorph = 217 meV/atom
VASP energy = -5.1861 eV per atom